Record 1
A plane-wave DFT calculation with GGA-PBE was carried out for a relaxed Al2TcIr crystal.

Cell lengths 2.795, 2.795, 8.104 Å; angles 90.00, 90.00, 113.35 degrees
Positions (direct):
Ir (0.500, 0.500, 0.250)
Tc (0.500, 0.500, 0.750)
Al (0.000, 0.000, 0.001)
Al (0.000, 0.000, 0.499)

Output
Distance to the lowest polymorph of the same formula in eV/atom: 0.293
Energy relative to the elements in eV/atom: -0.349

=====

Record 2
A plane-wave DFT calculation with GGA-PBE was carried out for a relaxed Al2TcIr crystal.

Cell lengths 6.785, 6.785, 5.547 Å; angles 52.29, 52.29, 90.00 degrees
Positions (direct):
Ir (0.000, 0.000, 0.000)
Ir (0.750, 0.250, 0.500)
Tc (0.500, 0.500, 0.000)
Tc (0.250, 0.750, 0.500)
Al (0.640, 0.125, 0.250)
Al (0.110, 0.625, 0.250)
Al (0.375, 0.360, 0.750)
Al (0.875, 0.890, 0.750)

Output
Distance to the lowest polymorph of the same formula in eV/atom: 0.764
Energy relative to the elements in eV/atom: 0.122

=====

Record 3
A plane-wave DFT calculation with GGA-PBE was carried out for a relaxed Al2TcIr crystal.

Cell lengths 4.354, 4.354, 4.354 Å; angles 60.00, 60.00, 60.00 degrees
Positions (direct):
Ir (0.500, 0.500, 0.500)
Tc (0.750, 0.750, 0.750)
Al (0.000, 0.000, 0.000)
Al (0.250, 0.250, 0.250)

Output
Distance to the lowest polymorph of the same formula in eV/atom: 0.454
Energy relative to the elements in eV/atom: -0.188

=====

Record 4
A plane-wave DFT calculation with GGA-PBE was carried out for a relaxed Al2TcIr crystal.

Cell lengths 4.363, 4.363, 5.103 Å; angles 80.81, 80.81, 37.28 degrees
Positions (direct):
Ir (0.750, 0.750, 0.750)
Tc (0.250, 0.250, 0.250)
Al (0.003, 0.003, 0.994)
Al (0.497, 0.497, 0.506)

Output
Distance to the lowest polymorph of the same formula in eV/atom: 0.211
Energy relative to the elements in eV/atom: -0.431

=====

Record 5
A plane-wave DFT calculation with GGA-PBE was carried out for a relaxed Al2TcIr crystal.

Cell lengths 2.772, 2.772, 7.861 Å; angles 90.00, 90.00, 90.00 degrees
Positions (direct):
Ir (0.000, 0.000, 0.507)
Tc (0.500, 0.500, 0.738)
Al (0.000, 0.000, 0.980)
Al (0.500, 0.500, 0.274)

Output
Distance to the lowest polymorph of the same formula in eV/atom: 0.339
Energy relative to the elements in eV/atom: -0.303

=====

Record 6
A plane-wave DFT calculation with GGA-PBE was carried out for a relaxed Al2TcIr crystal.

Cell lengths 5.029, 5.029, 5.029 Å; angles 137.46, 137.46, 61.74 degrees
Positions (direct):
Ir (0.500, 0.500, 0.000)
Tc (0.750, 0.250, 0.500)
Al (0.000, 0.000, 0.000)
Al (0.250, 0.750, 0.500)

Output
Distance to the lowest polymorph of the same formula in eV/atom: 0.247
Energy relative to the elements in eV/atom: -0.395

=====

Record 7
A plane-wave DFT calculation with GGA-PBE was carried out for a relaxed Al2TcIr crystal.

Cell lengths 8.745, 8.745, 8.745 Å; angles 18.63, 18.63, 18.63 degrees
Positions (direct):
Ir (0.500, 0.500, 0.500)
Tc (0.751, 0.751, 0.751)
Al (0.002, 0.002, 0.002)
Al (0.246, 0.246, 0.246)

Output
Distance to the lowest polymorph of the same formula in eV/atom: 0.365
Energy relative to the elements in eV/atom: -0.277

=====

Record 8
A plane-wave DFT calculation with GGA-PBE was carried out for a relaxed AlTc3Ir crystal.

Cell lengths 4.690, 4.690, 4.690 Å; angles 90.00, 90.00, 90.00 degrees
Positions (direct):
Ir (0.000, 0.000, 0.000)
Tc (0.000, 0.500, 0.000)
Tc (0.000, 0.000, 0.500)
Tc (0.500, 0.000, 0.000)
Al (0.500, 0.500, 0.500)

Output
Distance to the lowest polymorph of the same formula in eV/atom: 0.234
Energy relative to the elements in eV/atom: 1.646

=====

Record 9
A plane-wave DFT calculation with GGA-PBE was carried out for a relaxed Al6TcIr crystal.

Cell lengths 4.458, 4.458, 7.205 Å; angles 77.39, 77.39, 74.80 degrees
Positions (direct):
Al (0.064, 0.579, 0.307)
Al (0.579, 0.064, 0.307)
Al (0.421, 0.936, 0.693)
Al (0.936, 0.421, 0.693)
Al (0.363, 0.363, 0.923)
Al (0.637, 0.637, 0.077)
Tc (0.000, 0.000, 0.000)
Ir (0.500, 0.500, 0.500)

Output
Energy relative to the elements in eV/atom: -0.239

=====

Record 10
A plane-wave DFT calculation with GGA-PBE was carried out for a relaxed AlTcTe2Ir crystal.

Cell lengths 5.339, 4.810, 5.339 Å; angles 90.00, 90.00, 90.00 degrees
Positions (direct):
Ir (0.000, 0.000, 0.000)
Te (0.000, 0.000, 0.500)
Te (0.500, 0.000, 0.000)
Tc (0.000, 0.500, 0.000)
Al (0.500, 0.500, 0.500)

Output
ΔE_f (raw) in eV/atom: 1.042

=====

Record 11
A plane-wave DFT calculation with GGA-PBE was carried out for a relaxed TiAlTcIr crystal.

Cell lengths 3.068, 4.249, 4.420 Å; angles 90.00, 90.00, 90.00 degrees
Positions (direct):
Ti (0.500, 0.000, 0.500)
Al (0.500, 0.500, 0.000)
Tc (0.000, 0.500, 0.500)
Ir (0.000, 0.000, 0.000)

Output
Distance to the lowest polymorph of the same formula in eV/atom: 0.010
Energy relative to the elements in eV/atom: -0.758

=====

Record 12
A plane-wave DFT calculation with GGA-PBE was carried out for a relaxed TiAlTcIr crystal.

Cell lengths 4.337, 4.337, 4.337 Å; angles 60.00, 60.00, 60.00 degrees
Positions (direct):
Al (0.750, 0.750, 0.750)
Ir (0.000, 0.000, 0.000)
Tc (0.500, 0.500, 0.500)
Ti (0.250, 0.250, 0.250)

Output
Distance to the lowest polymorph of the same formula in eV/atom: 0.000
Energy relative to the elements in eV/atom: -0.769

=====

Record 13
A plane-wave DFT calculation with GGA-PBE was carried out for a relaxed AlVTcIr crystal.

Cell lengths 4.280, 4.280, 4.280 Å; angles 60.00, 60.00, 60.00 degrees
Positions (direct):
Al (0.500, 0.500, 0.500)
Ir (0.250, 0.250, 0.250)
Tc (0.750, 0.750, 0.750)
V (0.000, 0.000, 0.000)

Output
Energy relative to the elements in eV/atom: -0.646

=====

Record 14
A plane-wave DFT calculation with GGA-PBE was carried out for a relaxed AlTc2IrW crystal.

Cell lengths 4.660, 4.660, 4.447 Å; angles 90.00, 90.00, 90.00 degrees
Positions (direct):
Ir (0.000, 0.000, 0.000)
Tc (0.000, 0.500, 0.000)
Tc (0.500, 0.000, 0.000)
W (0.500, 0.500, 0.500)
Al (0.000, 0.000, 0.500)

Output
Energy relative to the elements in eV/atom: 1.672

=====

Record 15
A plane-wave DFT calculation with GGA-PBE was carried out for a relaxed AlTcIrW crystal.

Cell lengths 4.369, 4.369, 4.369 Å; angles 60.00, 60.00, 60.00 degrees
Positions (direct):
Ir (0.250, 0.250, 0.250)
Tc (0.750, 0.750, 0.750)
W (0.000, 0.000, 0.000)
Al (0.500, 0.500, 0.500)

Output
Energy relative to the elements in eV/atom: -0.315

=====

no.,uncorrected energy (eV per atom)
1,-7.03
2,-6.56
3,-6.87
4,-7.11
5,-6.98
6,-7.07
7,-6.95
8,-7.09
9,-5.45
10,-4.81
11,-8.47
12,-8.48
13,-8.67
14,-7.59
15,-9.30